Entry 1:
Ho12ZrSc7 (PBE, relaxed); DFT total energy = -104.97 eV for the cell shown; energy relative to the elements = 0.14 eV/atom; DOS at the Fermi energy = 1.45 states/eV/atom; SG = R-3
1.0
7.556 4.362 2.892
-7.556 4.362 2.892
0.000 -8.724 2.892
Ho Zr Sc
12 1 7
direct
0.085 0.587 0.381
0.096 0.156 0.731
0.156 0.731 0.096
0.269 0.904 0.844
0.381 0.085 0.587
0.413 0.619 0.915
0.587 0.381 0.085
0.619 0.915 0.413
0.731 0.096 0.156
0.844 0.269 0.904
0.904 0.844 0.269
0.915 0.413 0.619
0.500 0.500 0.500
0.000 0.000 0.000
0.165 0.284 0.451
0.284 0.451 0.165
0.451 0.165 0.284
0.549 0.835 0.716
0.716 0.549 0.835
0.835 0.716 0.549


Entry 2:
Ac2SiGe4Au3 (PBE, relaxed); DFT total energy = -47.02 eV for the cell shown; DOS at the Fermi energy = 0.31 states/eV/atom; SG = P-4m2
1.0
4.710 0.000 0.000
0.000 4.710 0.000
0.000 0.000 10.070
Ac Si Ge Au
2 1 4 3
direct
0.000 0.500 0.246
0.500 0.000 0.754
0.500 0.500 0.000
0.000 0.000 0.500
0.000 0.500 0.880
0.500 0.000 0.120
0.500 0.500 0.500
0.000 0.000 0.000
0.000 0.500 0.626
0.500 0.000 0.374